A relaxed structure of Li2Ni. Source: the Alexandria database, functional PBE.

Geometry as POSCAR:
```
Li2Ni
1.0
5.068 0.000 0.000
0.000 4.183 0.000
0.000 0.000 7.628
Li Ni
8 4
direct
0.103 0.250 0.121
0.205 0.250 0.787
0.295 0.750 0.287
0.397 0.750 0.621
0.603 0.250 0.379
0.705 0.250 0.713
0.795 0.750 0.213
0.897 0.750 0.879
0.082 0.250 0.469
0.418 0.750 0.969
0.582 0.250 0.031
0.918 0.750 0.531
```

Output
The formation enthalpy at 0 K comes out at 0.04 eV/atom. As for the space group: Pnma.

---

A relaxed structure of LaMoN3. Source: the Alexandria database, functional PBE.

Geometry as POSCAR:
```
LaMoN3
1.0
3.185 0.000 0.000
-1.584 6.273 0.000
-1.156 -0.953 6.862
La Mo N
2 2 6
direct
0.000 0.000 0.000
0.190 0.749 0.503
0.251 0.523 0.951
0.521 0.266 0.655
0.402 0.191 0.336
0.439 0.742 0.157
0.626 0.376 0.397
0.643 0.294 0.962
0.721 0.609 0.768
0.890 0.043 0.638
```

Output
As for the space group: P1.

---

A relaxed structure of HgAs2Se2. Source: the Alexandria database, functional PBE.

Geometry as POSCAR:
```
HgAs2Se2
1.0
-2.474 2.474 5.979
2.474 -2.474 5.979
2.474 2.474 -5.979
Hg As Se
1 2 2
direct
0.000 0.000 0.000
0.250 0.750 0.500
0.750 0.250 0.500
0.332 0.332 0.000
0.668 0.668 0.000
```

Output
As for the space group: I4/mmm.

---

A relaxed structure of Sr2ZnP. Source: the Alexandria database, functional PBE.

Geometry as POSCAR:
```
Sr2ZnP
1.0
-2.225 2.225 5.677
2.225 -2.225 5.677
2.225 2.225 -5.677
Sr Zn P
2 1 1
direct
0.000 0.000 0.000
0.750 0.250 0.500
0.250 0.750 0.500
0.500 0.500 0.000
```

Output
The formation enthalpy at 0 K comes out at -0.35 eV/atom. As for the space group: I-4m2.

---

no.,uncorrected energy (eV/cell),total magnetization (μB/atom)
1,-37.903,0.000
2,-87.777,0.000
3,-15.542,0.000
4,-11.465,0.000